DyZrTiAl | PBE | optimized geometry Values from VASP.

Geometry as Quantum ESPRESSO input:
```
&SYSTEM
  ibrav = 0, nat = 4, ntyp = 4
/
ATOMIC_SPECIES
Dy 162.50 Dy.upf
Zr 91.22 Zr.upf
Ti 47.87 Ti.upf
Al 26.98 Al.upf
ATOMIC_POSITIONS crystal
Dy 0.000 0.000 0.000
Zr 0.500 0.500 0.500
Ti 0.250 0.250 0.250
Al 0.750 0.750 0.750
CELL_PARAMETERS angstrom
0.000 3.527 3.527
3.527 0.000 3.527
3.527 3.527 0.000
```

Values from the calculation:
Density in g/cm³: 6.219
Formation enthalpy at 0 K in eV/atom: -0.071
Total magnetization in μB/cell: 2.94